Compound: UTcNi
Source: the Alexandria database
Functional: PBE
Structure: optimized geometry

extended XYZ file:
```
12
Lattice="-0.668 5.034 2.695 -3.674 -2.470 3.704 6.812 0.216 1.284" Properties=species:S:1:pos:R:3 pbc="T T T"
Ni -0.775 3.718 4.112
Ni 0.003 2.696 6.215
Ni 2.244 1.769 2.370
Ni 3.022 0.746 4.473
U 1.689 4.013 4.172
U -0.329 1.613 2.022
U 2.576 2.851 6.563
U 0.558 0.452 4.412
Tc 4.509 0.391 2.436
Tc -1.928 1.554 4.800
Tc -1.594 -0.960 3.454
Tc 4.174 2.911 3.785
```

Computed properties:
The space group is P2_1/m. The formation energy is -0.26 eV/f.u. The value obtained for the total energy is -0.3392 Ha/atom.